First-principles (GGA-PBE) data for an optimized crystal structure of Dy2TmCo2C2N3, as listed in OQMD.

Total DFT energy (no corrections) = -80.842 eV per cell
Space group = I4/mmm (139)

abc: 9.9439 9.9439 9.9439
angles: 160.14 160.14 28.24
Last column: nearest neighbours and their distance in Å.
Positions (direct):
Dy  0.1266  0.1266  0.0000  5 N 2.43-2.44
Dy  0.8734  0.8734  0.0000  5 N 2.43-2.44
Tm  0.5000  0.5000  0.0000  6 N 2.29-2.43
Co  0.2500  0.7500  0.5000  4 C 2.04
Co  0.7500  0.2500  0.5000  4 C 2.04
C  0.3069  0.3069  0.0000  1 N 1.43
C  0.6931  0.6931  0.0000  1 N 1.43
N  0.0000  0.0000  0.0000  4 Tm 2.43, 2 Dy 2.44
N  0.3811  0.3811  0.0000  1 C 1.43
N  0.6189  0.6189  0.0000  1 C 1.43